No. 1
! PBE MgHgTe2, optimized geometry; values from VASP
&SYSTEM
  ibrav = 0, nat = 8, ntyp = 3
/
ATOMIC_SPECIES
Mg 24.30 Mg.upf
Hg 200.59 Hg.upf
Te 127.60 Te.upf
CELL_PARAMETERS angstrom
8.160 0.000 0.000
0.000 4.425 0.000
-1.459 0.000 8.017
ATOMIC_POSITIONS crystal
Mg 0.000 0.000 0.000
Mg 0.500 0.500 0.000
Hg 0.000 0.500 0.500
Hg 0.500 0.000 0.500
Te 0.139 0.500 0.824
Te 0.361 0.000 0.176
Te 0.639 0.000 0.824
Te 0.861 0.500 0.176
! polymorph energy (0 for the lowest one): 38 kJ/mol of formula units
! calculated total energy: -2.459 eV/atom
! formation energy (no corrections): -40.0 kJ/mol of atoms
! space-group type: C2/m, No. 12
! N(E_F): 0.03 states/eV/f.u.

***

No. 2
! PBE MgHgTe2, optimized geometry; values from VASP
&SYSTEM
  ibrav = 0, nat = 16, ntyp = 3
/
ATOMIC_SPECIES
Mg 24.30 Mg.upf
Hg 200.59 Hg.upf
Te 127.60 Te.upf
CELL_PARAMETERS angstrom
8.087 0.000 0.000
0.000 4.402 0.000
0.000 0.000 15.284
ATOMIC_POSITIONS crystal
Mg 0.067 0.250 0.072
Mg 0.433 0.750 0.572
Mg 0.567 0.250 0.428
Mg 0.933 0.750 0.928
Hg 0.189 0.250 0.705
Hg 0.311 0.750 0.205
Hg 0.689 0.250 0.795
Hg 0.811 0.750 0.295
Te 0.046 0.250 0.256
Te 0.247 0.250 0.511
Te 0.253 0.750 0.011
Te 0.454 0.750 0.756
Te 0.546 0.250 0.244
Te 0.747 0.250 0.989
Te 0.753 0.750 0.489
Te 0.954 0.750 0.744
! polymorph energy (0 for the lowest one): 56 kJ/mol of formula units
! calculated total energy: -2.413 eV/atom
! formation energy (no corrections): -35.5 kJ/mol of atoms
! space-group type: Pnma, No. 62
! N(E_F): 0.51 states/eV/f.u.

***

No. 3
! PBE MgHgTe2, optimized geometry; values from VASP
&SYSTEM
  ibrav = 0, nat = 4, ntyp = 3
/
ATOMIC_SPECIES
Mg 24.30 Mg.upf
Hg 200.59 Hg.upf
Te 127.60 Te.upf
CELL_PARAMETERS angstrom
4.473 0.000 0.000
-2.236 3.874 0.000
0.000 0.000 7.400
ATOMIC_POSITIONS crystal
Mg 0.000 0.000 0.000
Hg 0.333 0.667 0.467
Te 0.333 0.667 0.842
Te 0.667 0.333 0.274
! polymorph energy (0 for the lowest one): 30 kJ/mol of formula units
! calculated total energy: -2.480 eV/atom
! formation energy (no corrections): -41.9 kJ/mol of atoms
! space-group type: P3m1, No. 156
! N(E_F): 0.00 states/eV/f.u.

***

No. 4
! PBE MgHgTe2, optimized geometry; values from VASP
&SYSTEM
  ibrav = 0, nat = 16, ntyp = 3
/
ATOMIC_SPECIES
Mg 24.30 Mg.upf
Hg 200.59 Hg.upf
Te 127.60 Te.upf
CELL_PARAMETERS angstrom
7.533 0.000 0.000
0.000 7.533 0.000
0.000 0.000 7.533
ATOMIC_POSITIONS crystal
Mg 0.000 0.000 0.000
Mg 0.000 0.500 0.500
Mg 0.500 0.000 0.500
Mg 0.500 0.500 0.000
Hg 0.000 0.000 0.500
Hg 0.000 0.500 0.000
Hg 0.500 0.000 0.000
Hg 0.500 0.500 0.500
Te 0.250 0.250 0.250
Te 0.250 0.250 0.750
Te 0.250 0.750 0.250
Te 0.250 0.750 0.750
Te 0.750 0.250 0.250
Te 0.750 0.250 0.750
Te 0.750 0.750 0.250
Te 0.750 0.750 0.750
! polymorph energy (0 for the lowest one): 185 kJ/mol of formula units
! calculated total energy: -2.078 eV/atom
! formation energy (no corrections): -3.2 kJ/mol of atoms
! space-group type: Fm-3m, No. 225
! N(E_F): 3.67 states/eV/f.u.

***

- Among the records above, which one has the highest N(E_F)?
  number 4

***

- Which of these has the lowest calculated total energy?
  number 3